--- one ---
## Er3Pd5Au (PBE)

Data for a relaxed structure of Er3Pd5Au.

```
data_Er3Pd5Au
_symmetry_space_group_name_H-M 'P 63/m c m'
_symmetry_Int_Tables_number 193
_symmetry_space_group_name_Hall '-P 6c 2'
_cell_length_a 8.3519
_cell_length_b 8.3519
_cell_length_c 5.6956
_cell_angle_alpha 90.00
_cell_angle_beta 90.00
_cell_angle_gamma 120.00
loop_
_atom_site_label
_atom_site_type_symbol
_atom_site_fract_x
_atom_site_fract_y
_atom_site_fract_z
Er1 Er 0.0000 0.3492 0.2500
Pd1 Pd 0.0000 0.3204 0.7500
Pd2 Pd 0.3333 0.6667 0.0000
Au1 Au 0.0000 0.0000 0.0000
```

D(E_F) (states/eV/f.u.): 3.93


--- two ---
## Er3Pd5Au (PBE)

Data for a relaxed structure of Er3Pd5Au.

```
data_Er3Pd5Au
_symmetry_space_group_name_H-M 'I 4/m c m'
_symmetry_Int_Tables_number 140
_symmetry_space_group_name_Hall '-I 4 2c'
_cell_length_a 8.248
_cell_length_b 8.248
_cell_length_c 11.015
_cell_angle_alpha 90.00
_cell_angle_beta 90.00
_cell_angle_gamma 90.00
loop_
_atom_site_label
_atom_site_type_symbol
_atom_site_fract_x
_atom_site_fract_y
_atom_site_fract_z
Er1 Er 0.000 0.000 0.250
Er2 Er 0.126 0.374 0.000
Pd1 Pd 0.000 0.000 0.000
Pd2 Pd 0.197 0.303 0.365
Au1 Au 0.000 0.500 0.250
```

D(E_F) (states/eV/f.u.): 3.95


Sorted by energy, starting with the most stable: one, two.


--- one ---
## ErPdAu3 (PBE)

Data for a relaxed structure of ErPdAu3.

```
data_ErPdAu3
_symmetry_space_group_name_H-M 'P 1 21/m 1'
_symmetry_Int_Tables_number 11
_symmetry_space_group_name_Hall '-P 2yb'
_cell_length_a 4.957
_cell_length_b 5.630
_cell_length_c 7.303
_cell_angle_alpha 90.00
_cell_angle_beta 109.72
_cell_angle_gamma 90.00
loop_
_atom_site_label
_atom_site_type_symbol
_atom_site_fract_x
_atom_site_fract_y
_atom_site_fract_z
Er1 Er 0.104 0.250 0.208
Pd1 Pd 0.124 0.750 0.249
Au1 Au 0.308 0.501 0.616
Au2 Au 0.490 0.250 0.975
```

D(E_F) (states/eV/f.u.): 2.48


--- two ---
## ErPdAu3 (PBE)

Data for a relaxed structure of ErPdAu3.

```
data_ErPdAu3
_symmetry_space_group_name_H-M 'P n m a'
_symmetry_Int_Tables_number 62
_symmetry_space_group_name_Hall '-P 2ac 2n'
_cell_length_a 5.833
_cell_length_b 5.030
_cell_length_c 13.118
_cell_angle_alpha 90.00
_cell_angle_beta 90.00
_cell_angle_gamma 90.00
loop_
_atom_site_label
_atom_site_type_symbol
_atom_site_fract_x
_atom_site_fract_y
_atom_site_fract_z
Er1 Er 0.249 0.250 0.051
Pd1 Pd 0.005 0.250 0.634
Au1 Au 0.006 0.750 0.749
Au2 Au 0.010 0.750 0.142
Au3 Au 0.246 0.250 0.434
```

D(E_F) (states/eV/f.u.): 1.85


Sorted by energy, starting with the most stable: two, one.